Record 1
## TcP2Cl (PBEsol)

Data for a geometry-optimized TcP2Cl structure.

Output
Energy above the lowest structure with this stoichiometry: 672 meV/atom
Energy relative to the elements, uncorrected: 0.475 eV per atom
Symmetry: F-43m (216)

Cell lengths 4.268, 4.268, 4.268 Å; angles 60.00, 60.00, 60.00 degrees
Sites, in units of the cell vectors:
Cl1 0.500 0.500 0.500
P1 0.000 0.000 0.000
P2 0.750 0.750 0.750
Tc1 0.250 0.250 0.250

Record 2
## TcPCl2 (PBEsol)

Data for a geometry-optimized TcPCl2 structure.

Output
Energy above the lowest structure with this stoichiometry: 1237 meV/atom
Energy relative to the elements, uncorrected: 0.908 eV per atom
Symmetry: P4/mmm (123)

Cell lengths 3.116, 4.354, 4.354 Å; angles 90.00, 90.00, 90.00 degrees
Sites, in units of the cell vectors:
Cl1 0.000 0.000 0.500
Cl2 0.000 0.500 0.000
P1 0.500 0.500 0.500
Tc1 0.500 0.000 0.000

Record 3
## TcP2Cl (PBEsol)

Data for a geometry-optimized TcP2Cl structure.

Output
Energy above the lowest structure with this stoichiometry: 0 meV/atom
Energy relative to the elements, uncorrected: -0.197 eV per atom
Symmetry: C2/m (12)

Cell lengths 3.005, 3.932, 6.983 Å; angles 77.92, 77.58, 67.54 degrees
Sites, in units of the cell vectors:
Cl1 0.000 0.000 0.000
P1 0.853 0.954 0.341
P2 0.147 0.046 0.659
Tc1 0.500 0.500 0.500

no.,magnetic moment (μB/cell)
1,0.00
2,0.00
3,0.00